The following is a GGA-PBEsol calculation of HgC3 after structural relaxation, from Alexandria via LeMat-Bulk.

Properties
Calculated density ... 7.0 Mg/m³
Distance to the lowest polymorph of the same formula ... 0.0 meV/atom
Formation energy ... 735 meV/atom

Structure (POSCAR):
```
HgC3
1.0
6.978 0.000 0.000
0.000 2.534 0.000
-2.846 0.000 6.381
Hg C
2 6
Direct
0.000 0.000 0.000
0.500 0.500 0.000
0.000 0.500 0.500
0.196 0.500 0.500
0.304 0.000 0.500
0.500 0.000 0.500
0.696 0.000 0.500
0.804 0.500 0.500
```

The following is a GGA-PBEsol calculation of TaCu2Re after structural relaxation, from Alexandria via LeMat-Bulk.

Properties
Calculated density ... 14.9 Mg/m³
Distance to the lowest polymorph of the same formula ... 169.7 meV/atom
Formation energy ... 269 meV/atom

Structure (POSCAR):
```
TaCu2Re
1.0
2.644 0.000 0.000
0.000 2.644 0.000
0.000 0.000 7.859
Ta Cu Re
1 2 1
Direct
0.000 0.000 0.000
0.500 0.500 0.257
0.500 0.500 0.743
0.000 0.000 0.500
```

The following is a GGA-PBEsol calculation of ZrAgGe2 after structural relaxation, from Alexandria via LeMat-Bulk.

Properties
Calculated density ... 8.0 Mg/m³
Formation energy ... -74 meV/atom

Structure (POSCAR):
```
ZrAgGe2
1.0
6.585 0.000 0.000
0.000 6.585 0.000
0.000 0.000 6.585
Zr Ag Ge
4 4 8
Direct
0.000 0.000 0.000
0.000 0.500 0.500
0.500 0.000 0.500
0.500 0.500 0.000
0.000 0.000 0.500
0.000 0.500 0.000
0.500 0.000 0.000
0.500 0.500 0.500
0.250 0.250 0.250
0.250 0.250 0.750
0.250 0.750 0.250
0.250 0.750 0.750
0.750 0.250 0.250
0.750 0.250 0.750
0.750 0.750 0.250
0.750 0.750 0.750
```

The following is a GGA-PBEsol calculation of CaTl2In after structural relaxation, from Alexandria via LeMat-Bulk.

Properties
Calculated density ... 8.6 Mg/m³
Formation energy ... -230 meV/atom

Structure (POSCAR):
```
CaTl2In
1.0
3.531 0.000 0.000
0.000 5.261 0.000
-0.566 0.000 5.872
Ca Tl In
1 2 1
Direct
0.000 0.000 0.000
0.300 0.500 0.742
0.700 0.500 0.258
0.500 0.000 0.500
```

The following is a GGA-PBEsol calculation of CdSiPt2 after structural relaxation, from Alexandria via LeMat-Bulk.

Properties
Formation energy without anion corrections ... -0.46 eV/atom
Calculated density ... 14.3 Mg/m³

Structure (POSCAR):
```
CdSiPt2
1.0
2.967 0.000 0.000
0.000 2.967 0.000
0.000 0.000 6.993
Cd Si Pt
1 1 2
Direct
0.000 0.000 0.000
0.000 0.000 0.500
0.500 0.500 0.299
0.500 0.500 0.701
```

The following is a GGA-PBEsol calculation of Sr2TcPb after structural relaxation, from Alexandria via LeMat-Bulk.

Properties
Calculated density ... 7.3 Mg/m³
Formation energy ... 502 meV/atom

Structure (POSCAR):
```
Sr2TcPb
1.0
3.459 0.000 0.000
0.000 4.525 0.000
0.000 0.000 6.989
Sr Tc Pb
2 1 1
Direct
0.000 0.000 0.235
0.000 0.000 0.765
0.500 0.500 0.000
0.500 0.500 0.500
```